(1)
# Na3In3PbO8

Crystalline Na3In3PbO8 at its relaxed geometry (PBE, the Alexandria database).

Output
M_tot: 0.000 μB per atom
formation energy without anion corrections: -22.13 eV per formula unit
calculated total energy: -5.178 eV/atom
crystal system: trigonal
calculated volume: 14.14 Å³/atom

Unit cell a=6.6004 b=6.6004 c=16.8617 alpha=90.00 beta=90.00 gamma=120.00
Space group R-3m (No. 166, hexagonal axes)
Asymmetric unit:
1 Na 0.0000 0.5000 0.0000 [9 per cell]
2 In 0.0000 0.5000 0.5000 [9 per cell]
3 Pb 0.0000 0.0000 0.5000 [3 per cell]
4 O 0.0000 0.0000 0.2359 [6 per cell]
5 O 0.0053 0.5027 0.2359 [18 per cell]


(2)
# Sr3Al2In3

Crystalline Sr3Al2In3 at its relaxed geometry (PBE, the Alexandria database).

Output
M_tot: 0.000 μB per atom
E_form: -378.1 meV per atom
calculated total energy: -2.971 eV/atom
crystal system: orthorhombic
calculated volume: 29.79 Å³/atom

Unit cell a=4.896 b=11.826 c=16.466 alpha=90.00 beta=90.00 gamma=90.00
Space group Cmcm (No. 63)
Asymmetric unit:
1 Sr 0.000 0.086 0.109 [8 per cell]
2 Sr 0.000 0.369 0.250 [4 per cell]
3 Al 0.000 0.210 0.600 [8 per cell]
4 In 0.000 0.335 0.750 [4 per cell]
5 In 0.000 0.377 0.035 [8 per cell]


(3)
# LuNi5

Crystalline LuNi5 at its relaxed geometry (PBE, the Alexandria database).

Output
M_tot: 0.288 μB per atom
E_form: -337.4 meV per atom
calculated total energy: -5.909 eV/atom
crystal system: hexagonal
calculated volume: 13.31 Å³/atom

Unit cell a=4.8278 b=4.8278 c=3.9552 alpha=90.00 beta=90.00 gamma=120.00
Space group P6/mmm (No. 191)
Asymmetric unit:
1 Lu 0.0000 0.0000 0.0000 [1 per cell]
2 Ni 0.0000 0.5000 0.5000 [3 per cell]
3 Ni 0.3333 0.6667 0.0000 [2 per cell]


(4)
# LiPm4Hg7

Crystalline LiPm4Hg7 at its relaxed geometry (PBE, the Alexandria database).

Output
M_tot: 0.000 μB per atom
E_form: -369.3 meV per atom
calculated total energy: -2.288 eV/atom
crystal system: monoclinic
calculated volume: 26.67 Å³/atom

Unit cell a=15.569 b=5.318 c=9.337 alpha=90.00 beta=124.10 gamma=90.00
Space group C2/m (No. 12)
Asymmetric unit:
1 Li 0.000 0.000 0.000 [2 per cell]
2 Pm 0.072 0.500 0.751 [4 per cell]
3 Pm 0.239 0.500 0.260 [4 per cell]
4 Hg 0.000 0.500 0.000 [2 per cell]
5 Hg 0.058 0.000 0.355 [4 per cell]
6 Hg 0.179 0.500 0.535 [4 per cell]
7 Hg 0.182 0.000 0.003 [4 per cell]


(5)
# Be3FeSn

Crystalline Be3FeSn at its relaxed geometry (PBE, the Alexandria database).

Output
M_tot: 0.000 μB per atom
E_form: 623.4 meV per atom
calculated total energy: -4.105 eV/atom
crystal system: cubic
calculated volume: 13.48 Å³/atom

Unit cell a=4.070 b=4.070 c=4.070 alpha=90.00 beta=90.00 gamma=90.00
Space group Pm-3m (No. 221)
Asymmetric unit:
1 Be 0.000 0.000 0.500 [3 per cell]
2 Fe 0.000 0.000 0.000 [1 per cell]
3 Sn 0.500 0.500 0.500 [1 per cell]


(6)
# Ag2BiC

Crystalline Ag2BiC at its relaxed geometry (PBE, the Alexandria database).

Output
M_tot: 0.000 μB per atom
E_form: 1158.4 meV per atom
calculated total energy: -3.543 eV/atom
crystal system: tetragonal
calculated volume: 21.46 Å³/atom

Unit cell a=5.094 b=5.094 c=13.231 alpha=90.00 beta=90.00 gamma=90.00
Space group I-42d (No. 122)
Asymmetric unit:
1 Ag 0.091 0.250 0.125 [8 per cell]
2 Bi 0.000 0.000 0.500 [4 per cell]
3 C 0.000 0.000 0.000 [4 per cell]


(7)
# CeDyBiAs

Crystalline CeDyBiAs at its relaxed geometry (PBE, the Alexandria database).

Output
M_tot: 0.190 μB per atom
E_form: -1131.5 meV per atom
calculated total energy: -5.898 eV/atom
crystal system: trigonal
calculated volume: 29.07 Å³/atom

Unit cell a=4.3215 b=4.3215 c=21.5706 alpha=90.00 beta=90.00 gamma=120.00
Space group R3m (No. 160, hexagonal axes)
Asymmetric unit:
1 Ce 0.0000 0.0000 0.0000 [3 per cell]
2 Dy 0.0000 0.0000 0.5160 [3 per cell]
3 Bi 0.0000 0.0000 0.7597 [3 per cell]
4 As 0.0000 0.0000 0.2561 [3 per cell]


(8)
# Pu2SiPRh6

Crystalline Pu2SiPRh6 at its relaxed geometry (PBE, the Alexandria database).

Output
M_tot: 0.905 μB per atom
formation energy without anion corrections: -5.41 eV per formula unit
calculated total energy: -8.902 eV/atom
crystal system: orthorhombic
calculated volume: 17.88 Å³/atom

Unit cell a=5.596 b=8.522 c=7.500 alpha=90.00 beta=90.00 gamma=90.00
Space group Pmmn (No. 59, origin choice 2)
Asymmetric unit:
1 Pu 0.250 0.018 0.226 [4 per cell]
2 Si 0.250 0.750 0.768 [2 per cell]
3 P 0.250 0.250 0.743 [2 per cell]
4 Rh 0.006 0.750 0.496 [4 per cell]
5 Rh 0.007 0.750 0.026 [4 per cell]
6 Rh 0.250 0.501 0.620 [4 per cell]


(9)
# PmDySe

Crystalline PmDySe at its relaxed geometry (PBE, the Alexandria database).

Output
M_tot: 0.003 μB per atom
formation energy without anion corrections: -3.33 eV per formula unit
calculated total energy: -5.389 eV/atom
crystal system: trigonal
calculated volume: 29.35 Å³/atom

Unit cell a=3.9097 b=3.9097 c=6.6509 alpha=90.00 beta=90.00 gamma=120.00
Space group P3m1 (No. 156)
Asymmetric unit:
1 Pm 0.0000 0.0000 0.0000 [1 per cell]
2 Dy 0.3333 0.6667 0.5542 [1 per cell]
3 Se 0.6667 0.3333 0.2865 [1 per cell]


(10)
# RbBiPtO4

Crystalline RbBiPtO4 at its relaxed geometry (PBE, the Alexandria database).

Output
M_tot: 0.000 μB per atom
formation energy without anion corrections: -5.57 eV per formula unit
calculated total energy: -5.184 eV/atom
crystal system: orthorhombic
calculated volume: 17.70 Å³/atom

Unit cell a=5.975 b=6.733 c=12.321 alpha=90.00 beta=90.00 gamma=90.00
Space group Imma (No. 74)
Asymmetric unit:
1 Rb 0.000 0.250 0.177 [4 per cell]
2 Bi 0.000 0.000 0.500 [4 per cell]
3 Pt 0.250 0.250 0.750 [4 per cell]
4 O 0.000 0.066 0.691 [8 per cell]
5 O 0.229 0.250 0.486 [8 per cell]


(11)
# TbHgPt

Crystalline TbHgPt at its relaxed geometry (PBE, the Alexandria database).

Output
M_tot: 0.000 μB per atom
E_form: -761.5 meV per atom
calculated total energy: -4.419 eV/atom
crystal system: cubic
calculated volume: 24.97 Å³/atom

Unit cell a=6.692 b=6.692 c=6.692 alpha=90.00 beta=90.00 gamma=90.00
Space group F-43m (No. 216)
Asymmetric unit:
1 Tb 0.000 0.000 0.000 [4 per cell]
2 Hg 0.000 0.000 0.500 [4 per cell]
3 Pt 0.250 0.250 0.750 [4 per cell]


(12)
# Rb2HfTcO6

Crystalline Rb2HfTcO6 at its relaxed geometry (PBE, the Alexandria database).

Output
M_tot: 0.082 μB per atom
formation energy without anion corrections: -20.74 eV per formula unit
calculated total energy: -7.274 eV/atom
crystal system: tetragonal
calculated volume: 13.88 Å³/atom

Unit cell a=5.753 b=5.753 c=4.193 alpha=90.00 beta=90.00 gamma=90.00
Space group P4mm (No. 99)
Asymmetric unit:
1 Rb 0.000 0.500 0.000 [2 per cell]
2 Hf 0.000 0.000 0.511 [1 per cell]
3 Tc 0.500 0.500 0.464 [1 per cell]
4 O 0.000 0.000 0.009 [1 per cell]
5 O 0.263 0.263 0.507 [4 per cell]
6 O 0.500 0.500 0.034 [1 per cell]


(13)
# Pm2Dy2Sc

Crystalline Pm2Dy2Sc at its relaxed geometry (PBE, the Alexandria database).

Output
M_tot: 0.000 μB per atom
E_form: 191.8 meV per atom
calculated total energy: -4.816 eV/atom
crystal system: orthorhombic
calculated volume: 31.55 Å³/atom

Unit cell a=3.521 b=5.642 c=31.772 alpha=90.00 beta=90.00 gamma=90.00
Space group Imma (No. 74)
Asymmetric unit:
1 Pm 0.000 0.250 0.187 [4 per cell]
2 Pm 0.000 0.250 0.706 [4 per cell]
3 Dy 0.000 0.250 0.884 [4 per cell]
4 Dy 0.000 0.250 0.980 [4 per cell]
5 Sc 0.000 0.250 0.426 [4 per cell]


(14)
# AcLaPrZn

Crystalline AcLaPrZn at its relaxed geometry (PBE, the Alexandria database).

Output
M_tot: 0.000 μB per atom
E_form: -143.2 meV per atom
calculated total energy: -3.916 eV/atom
crystal system: tetragonal
calculated volume: 33.02 Å³/atom

Unit cell a=3.807 b=3.807 c=9.112 alpha=90.00 beta=90.00 gamma=90.00
Space group P4mm (No. 99)
Asymmetric unit:
1 Ac 0.000 0.000 0.000 [1 per cell]
2 La 0.500 0.500 0.303 [1 per cell]
3 Pr 0.500 0.500 0.701 [1 per cell]
4 Zn 0.000 0.000 0.507 [1 per cell]


(15)
# Fe2W2C

Crystalline Fe2W2C at its relaxed geometry (PBE, the Alexandria database).

Output
M_tot: 0.130 μB per atom
E_form: 130.6 meV per atom
calculated total energy: -10.281 eV/atom
crystal system: cubic
calculated volume: 11.57 Å³/atom

Unit cell a=11.155 b=11.155 c=11.155 alpha=90.00 beta=90.00 gamma=90.00
Space group Fd-3m (No. 227, origin choice 2)
Asymmetric unit:
1 Fe 0.000 0.000 0.000 [16 per cell]
2 Fe 0.049 0.049 0.201 [32 per cell]
3 W 0.074 0.375 0.875 [48 per cell]
4 C 0.000 0.000 0.500 [16 per cell]
5 C 0.125 0.125 0.625 [8 per cell]


(16)
# Zr2TaCl

Crystalline Zr2TaCl at its relaxed geometry (PBE, the Alexandria database).

Output
M_tot: 0.000 μB per atom
formation energy without anion corrections: -0.11 eV per formula unit
calculated total energy: -7.726 eV/atom
crystal system: orthorhombic
calculated volume: 20.36 Å³/atom

Unit cell a=3.495 b=5.055 c=9.218 alpha=90.00 beta=90.00 gamma=90.00
Space group Cmm2 (No. 35)
Asymmetric unit:
1 Zr 0.000 0.000 0.000 [2 per cell]
2 Zr 0.000 0.500 0.275 [2 per cell]
3 Ta 0.000 0.500 0.754 [2 per cell]
4 Cl 0.000 0.000 0.507 [2 per cell]


(17)
# SrRu

Crystalline SrRu at its relaxed geometry (PBE, the Alexandria database).

Output
M_tot: 0.000 μB per atom
E_form: 521.2 meV per atom
calculated total energy: -4.958 eV/atom
crystal system: orthorhombic
calculated volume: 24.65 Å³/atom

Unit cell a=5.861 b=9.049 c=14.874 alpha=90.00 beta=90.00 gamma=90.00
Space group Fddd (No. 70, origin choice 2)
Asymmetric unit:
1 Sr 0.125 0.294 0.125 [16 per cell]
2 Ru 0.125 0.125 0.546 [16 per cell]


(18)
# Ba2HfTlW

Crystalline Ba2HfTlW at its relaxed geometry (PBE, the Alexandria database).

Output
M_tot: 1.030 μB per atom
E_form: 1688.7 meV per atom
calculated total energy: -4.135 eV/atom
crystal system: tetragonal
calculated volume: 45.51 Å³/atom

Unit cell a=6.463 b=6.463 c=5.448 alpha=90.00 beta=90.00 gamma=90.00
Space group P4/mmm (No. 123)
Asymmetric unit:
1 Ba 0.000 0.500 0.000 [2 per cell]
2 Hf 0.000 0.000 0.500 [1 per cell]
3 Tl 0.000 0.000 0.000 [1 per cell]
4 W 0.500 0.500 0.500 [1 per cell]


(19)
# Pr6PtSe5

Crystalline Pr6PtSe5 at its relaxed geometry (PBE, the Alexandria database).

Output
M_tot: 0.000 μB per atom
formation energy without anion corrections: -20.87 eV per formula unit
calculated total energy: -6.084 eV/atom
crystal system: monoclinic
calculated volume: 27.61 Å³/atom

Unit cell a=7.417 b=12.810 c=7.402 alpha=90.00 beta=109.55 gamma=90.00
Space group C2/m (No. 12)
Asymmetric unit:
1 Pr 0.243 0.164 0.244 [8 per cell]
2 Pr 0.245 0.000 0.753 [4 per cell]
3 Pt 0.000 0.000 0.000 [2 per cell]
4 Se 0.000 0.171 0.500 [4 per cell]
5 Se 0.000 0.334 0.000 [4 per cell]
6 Se 0.000 0.500 0.500 [2 per cell]


(20)
# BaSc2Cu

Crystalline BaSc2Cu at its relaxed geometry (PBE, the Alexandria database).

Output
M_tot: 0.000 μB per atom
E_form: 507.6 meV per atom
calculated total energy: -4.163 eV/atom
crystal system: orthorhombic
calculated volume: 25.12 Å³/atom

Unit cell a=6.772 b=7.846 c=3.783 alpha=90.00 beta=90.00 gamma=90.00
Space group Cmmm (No. 65)
Asymmetric unit:
1 Ba 0.000 0.000 0.000 [2 per cell]
2 Sc 0.250 0.250 0.500 [4 per cell]
3 Cu 0.000 0.500 0.000 [2 per cell]